No. 1
Material: Ag6HgPd
Method: DFT, PBE-GGA
State: relaxed

Cell lengths 5.9119, 5.9119, 4.7813 Å; angles 90.00, 90.00, 120.00 degrees
Space group P-6m2 (No. 187)
Symmetry-distinct sites (fractional):
Ag1 0.0044 0.5022 0.0000 x3
Ag2 0.3387 0.1693 0.5000 x3
Hg1 0.0000 0.0000 0.0000 x1
Pd1 0.3333 0.6667 0.5000 x1

Properties
Fermi-level density of states   1.99 states/eV per cell
Formation energy   0.2 eV per formula unit

***

No. 2
Material: Ag8HgPd6
Method: DFT, PBE-GGA
State: relaxed

Cell lengths 7.6479, 7.6479, 16.6108 Å; angles 90.00, 90.00, 120.00 degrees
Space group R-3 (No. 148, hexagonal axes)
Symmetry-distinct sites (fractional):
Ag1 0.0000 0.0000 0.2394 x6
Ag2 0.0070 0.3160 0.6285 x18
Hg1 0.0000 0.0000 0.5000 x3
Pd1 0.0045 0.2985 0.1284 x18

Properties
Fermi-level density of states   8.35 states/eV per cell
Formation energy   1.3 eV per formula unit

***

No. 3
Material: AgHg4Pd7
Method: DFT, PBE-GGA
State: relaxed

Cell lengths 4.664, 5.318, 9.435 Å; angles 76.23, 75.85, 89.88 degrees
Space group P-1 (No. 2)
Symmetry-distinct sites (fractional):
Ag1 0.000 0.000 0.000 x1
Hg1 0.141 0.810 0.716 x2
Hg2 0.386 0.628 0.225 x2
Pd1 0.000 0.500 0.000 x1
Pd2 0.224 0.374 0.552 x2
Pd3 0.295 0.953 0.412 x2
Pd4 0.454 0.205 0.093 x2

Properties
Fermi-level density of states   3.12 states/eV per cell
Formation energy   -0.8 eV per formula unit

***

No. 4
Material: AgHg2Pd4
Method: DFT, PBE-GGA
State: relaxed

Cell lengths 4.942, 4.942, 13.573 Å; angles 90.00, 90.00, 90.00 degrees
Space group I4/mmm (No. 139)
Symmetry-distinct sites (fractional):
Ag1 0.000 0.000 0.000 x2
Hg1 0.000 0.000 0.387 x4
Pd1 0.000 0.000 0.192 x4
Pd2 0.000 0.500 0.000 x4

Properties
Fermi-level density of states   8.00 states/eV per cell
Formation energy   4.4 eV per formula unit

***

No. 5
Material: Ag2HgPd
Method: DFT, PBE-GGA
State: relaxed

Cell lengths 3.435, 3.435, 6.218 Å; angles 90.00, 90.00, 90.00 degrees
Space group P4/mmm (No. 123)
Symmetry-distinct sites (fractional):
Ag1 0.000 0.000 0.234 x2
Hg1 0.500 0.500 0.500 x1
Pd1 0.500 0.500 0.000 x1

Properties
Fermi-level density of states   1.77 states/eV per cell
Formation energy   0.1 eV per formula unit

***

No. 6
Material: Ag2Hg2Pd7
Method: DFT, PBE-GGA
State: relaxed

Cell lengths 9.248, 9.376, 5.002 Å; angles 90.00, 116.74, 90.00 degrees
Space group C2/m (No. 12)
Symmetry-distinct sites (fractional):
Ag1 0.100 0.000 0.330 x4
Hg1 0.000 0.309 0.000 x4
Pd1 0.000 0.500 0.500 x2
Pd2 0.171 0.256 0.671 x8
Pd3 0.245 0.000 0.956 x4

Properties
Fermi-level density of states   16.26 states/eV per cell
Formation energy   0.1 eV per formula unit

***

No. 7
Material: AgHgPd4
Method: DFT, PBE-GGA
State: relaxed

Cell lengths 7.500, 7.500, 7.500 Å; angles 90.00, 90.00, 90.00 degrees
Space group F-43m (No. 216)
Symmetry-distinct sites (fractional):
Ag1 0.000 0.000 0.000 x4
Hg1 0.250 0.250 0.250 x4
Pd1 0.125 0.125 0.625 x16

Properties
Fermi-level density of states   38.44 states/eV per cell
Formation energy   0.5 eV per formula unit

***

No. 8
Material: AgHgPd
Method: DFT, PBE-GGA
State: relaxed

Cell lengths 12.275, 3.045, 6.041 Å; angles 90.00, 103.02, 90.00 degrees
Space group C2/m (No. 12)
Symmetry-distinct sites (fractional):
Ag1 0.163 0.000 0.328 x4
Hg1 0.155 0.000 0.820 x4
Pd1 0.000 0.500 0.000 x2
Pd2 0.000 0.500 0.500 x2

Properties
Fermi-level density of states   2.03 states/eV per cell
Formation energy   -0.2 eV per formula unit